(1)
NaBSe3, optimized geometry, DFT GGA-PBE; ΔE_f (raw) = -433 meV/atom; energy relative to the lowest polymorph listed for this composition = 0.00 kcal/mol of atoms
1.0
6.3223 0.9458 0.0000
-1.2298 6.0716 0.0000
0.0000 0.0000 12.6711
Se Na B
12 4 4
direct
0.7080 0.7662 0.1027
0.0716 0.8673 0.1367
0.3693 0.4361 0.2154
0.2080 0.7662 0.3973
0.7920 0.2338 0.6027
0.6307 0.5639 0.7846
0.2920 0.2338 0.8973
0.4284 0.1327 0.6367
0.5716 0.8673 0.3633
0.8693 0.4361 0.2846
0.9284 0.1327 0.8633
0.1307 0.5639 0.7154
0.2345 0.2703 0.4312
0.7655 0.7297 0.5688
0.7345 0.2703 0.0688
0.2655 0.7297 0.9312
0.8722 0.3657 0.7492
0.3722 0.3657 0.7508
0.6278 0.6343 0.2492
0.1278 0.6343 0.2508

---

(2)
ScMnW2, optimized geometry, DFT GGA-PBE; ΔH_f (0 K) = 0.369 eV/atom; energy relative to the lowest polymorph listed for this composition = 6.44 kcal/mol of atoms
1.0
0.0000 3.1242 3.1242
3.1242 0.0000 3.1242
3.1242 3.1242 0.0000
W Mn Sc
2 1 1
direct
0.7500 0.7500 0.7500
0.2500 0.2500 0.2500
0.5000 0.5000 0.5000
0.0000 0.0000 0.0000

---

(3)
DyHo3Tm3Te8, optimized geometry, DFT GGA-PBE; ΔE_f (raw) = -1313 meV/atom
1.0
8.6080 0.0000 0.0000
-4.3040 7.4553 -0.0251
0.0000 -4.9457 7.0410
Te Ho Dy Tm
8 3 1 3
direct
0.2570 0.5141 0.7551
0.2590 0.0020 0.2449
0.2570 0.9980 0.7551
0.7430 0.4859 0.2449
0.7410 0.9980 0.7551
0.7490 0.4980 0.7470
0.7430 0.0020 0.2449
0.2510 0.5020 0.2530
0.0000 0.0000 0.0000
0.0000 0.5000 0.0000
0.5000 0.5000 0.0000
0.0000 0.0000 0.5000
0.5000 0.0000 0.5000
0.0000 0.5000 0.5000
0.5000 0.5000 0.5000

---

Values of total DFT energy (no corrections), in order: -0.15151; -0.36688; -0.18761, all in Ha/atom.